Model A:
Compound: RbBa3Cd
Source: Alexandria
Functional: PBE
Structure: optimized geometry

abc: 6.969 6.969 6.969
angles: 90.00 90.00 90.00
Site moments in Bohr magnetons follow the coordinates.
Fractional positions:
Ba 0.000 0.500 0.000  0.23
Ba 0.000 0.000 0.500  0.34
Ba 0.500 0.000 0.000  0.15
Rb 0.000 0.000 0.000  0.13
Cd 0.500 0.500 0.500  0.00

Results
Calculated density: 3.0 g cm⁻³
Space group: Pm-3m
Magnetization: 3.3 μB/f.u.
V: 67.7 Å³ per atom
Crystal system: cubic


Model B:
Compound: RbBa3Cd
Source: Alexandria
Functional: PBE
Structure: optimized geometry

abc: 6.902 6.902 6.902
angles: 90.00 90.00 90.00
Fractional positions:
Ba 0.000 0.500 0.000
Ba 0.000 0.000 0.500
Ba 0.500 0.000 0.000
Rb 0.500 0.500 0.500
Cd 0.000 0.000 0.000

Results
Calculated density: 3.1 g cm⁻³
Space group: Pm-3m
Magnetization: 0.0 μB/f.u.
V: 65.8 Å³ per atom
Crystal system: cubic


Of them, model B has the highest stability.


Model A:
Compound: RbBaCd3
Source: Alexandria
Functional: PBE
Structure: optimized geometry

abc: 6.620 6.620 6.620
angles: 90.00 90.00 90.00
Fractional positions:
Ba 0.000 0.000 0.000
Rb 0.500 0.500 0.500
Cd 0.000 0.500 0.000
Cd 0.000 0.000 0.500
Cd 0.500 0.000 0.000

Results
Calculated density: 3.2 g cm⁻³
Space group: Pm-3m
Magnetization: 0.0 μB/f.u.
V: 58.0 Å³ per atom
Crystal system: cubic


Model B:
Compound: RbBaCd3
Source: Alexandria
Functional: PBE
Structure: optimized geometry

abc: 6.224 6.224 6.224
angles: 90.00 90.00 90.00
Fractional positions:
Ba 0.500 0.500 0.500
Rb 0.000 0.000 0.000
Cd 0.000 0.500 0.000
Cd 0.000 0.000 0.500
Cd 0.500 0.000 0.000

Results
Calculated density: 3.9 g cm⁻³
Space group: Pm-3m
Magnetization: 0.0 μB/f.u.
V: 48.2 Å³ per atom
Crystal system: cubic


Of them, model A has the highest stability.


Model A:
Compound: Rb2BaCd2
Source: Alexandria
Functional: PBE
Structure: optimized geometry

abc: 9.082 9.082 6.054
angles: 90.00 90.00 90.00
Fractional positions:
Ba 0.000 0.000 0.000
Ba 0.500 0.500 0.000
Rb 0.171 0.671 0.500
Rb 0.671 0.829 0.500
Rb 0.829 0.329 0.500
Rb 0.329 0.171 0.500
Cd 0.384 0.884 0.000
Cd 0.884 0.616 0.000
Cd 0.616 0.116 0.000
Cd 0.116 0.384 0.000

Results
Calculated density: 3.5 g cm⁻³
Space group: P4/mbm
Magnetization: 0.0 μB/f.u.
V: 49.9 Å³ per atom
Crystal system: tetragonal


Model B:
Compound: Rb2BaCd2
Source: Alexandria
Functional: PBE
Structure: optimized geometry

abc: 5.373 5.373 9.214
angles: 73.05 73.05 90.00
Fractional positions:
Ba 0.000 0.000 0.000
Rb 0.750 0.250 0.500
Rb 0.250 0.750 0.500
Cd 0.414 0.414 0.172
Cd 0.586 0.586 0.828

Results
Calculated density: 3.7 g cm⁻³
Space group: I4/mmm
Magnetization: 0.0 μB/f.u.
V: 48.5 Å³ per atom
Crystal system: tetragonal


Model C:
Compound: Rb2BaCd2
Source: Alexandria
Functional: PBE
Structure: optimized geometry

abc: 10.416 10.416 4.227
angles: 90.00 90.00 90.00
Fractional positions:
Ba 0.000 0.000 0.000
Ba 0.500 0.500 0.000
Rb 0.377 0.877 0.000
Rb 0.877 0.623 0.000
Rb 0.623 0.123 0.000
Rb 0.123 0.377 0.000
Cd 0.181 0.681 0.500
Cd 0.681 0.819 0.500
Cd 0.819 0.319 0.500
Cd 0.319 0.181 0.500

Results
Calculated density: 3.9 g cm⁻³
Space group: P4/mbm
Magnetization: 0.0 μB/f.u.
V: 45.9 Å³ per atom
Crystal system: tetragonal


Of them, model A has the highest stability.


Model A:
Compound: BaCd2Re
Source: Alexandria
Functional: PBE
Structure: optimized geometry

abc: 11.138 11.138 11.138
angles: 15.92 15.92 15.92
Fractional positions:
Re 0.250 0.250 0.250
Ba 0.750 0.750 0.750
Cd 0.988 0.988 0.988
Cd 0.512 0.512 0.512

Results
Calculated density: 10.1 g cm⁻³
Space group: R-3m
Magnetization: 0.0 μB/f.u.
V: 22.6 Å³ per atom
Crystal system: trigonal


Model B:
Compound: BaCd2Re
Source: Alexandria
Functional: PBE
Structure: optimized geometry

abc: 3.263 3.263 9.019
angles: 90.00 90.00 90.00
Site moments in Bohr magnetons follow the coordinates.
Fractional positions:
Re 0.500 0.500 0.250  1.35
Ba 0.500 0.500 0.750  0.04
Cd 0.000 0.000 0.055  0.02
Cd 0.000 0.000 0.445  0.02

Results
Calculated density: 9.5 g cm⁻³
Space group: P4/mmm
Magnetization: 1.7 μB/f.u.
V: 24.0 Å³ per atom
Crystal system: tetragonal


Of them, model B has the highest stability.